[1]
A plane-wave DFT calculation with PBE was carried out for an optimized crystal structure of VSbPI2. Values from VASP.

```
&SYSTEM
  ibrav = 0, nat = 5, ntyp = 4
/
ATOMIC_SPECIES
V 50.94 V.upf
Sb 121.76 Sb.upf
P 30.97 P.upf
I 126.90 I.upf
ATOMIC_POSITIONS crystal
V 0.000 0.000 0.000
Sb 0.500 0.500 0.000
P 0.500 0.500 0.500
I 0.000 0.500 0.500
I 0.500 0.000 0.500
CELL_PARAMETERS angstrom
5.283 0.000 0.000
0.000 5.283 0.000
0.000 0.000 5.435
```

Calculated values
Space-group type   P4/mmm
VASP energy   -3.223 eV/atom
Energy relative to the elements, uncorrected   1.127 eV/atom
Excess energy over the best structure of this formula in the dataset   352 meV per atom

=====

[2]
A plane-wave DFT calculation with PBE was carried out for an optimized crystal structure of SbP2WI. Values from VASP.

```
&SYSTEM
  ibrav = 0, nat = 5, ntyp = 4
/
ATOMIC_SPECIES
Sb 121.76 Sb.upf
P 30.97 P.upf
W 183.84 W.upf
I 126.90 I.upf
ATOMIC_POSITIONS crystal
Sb 0.000 0.000 0.000
P 0.000 0.500 0.000
P 0.500 0.000 0.000
W 0.500 0.500 0.500
I 0.000 0.000 0.500
CELL_PARAMETERS angstrom
5.045 0.000 0.000
0.000 5.045 0.000
0.000 0.000 5.745
```

Calculated values
Space-group type   P4/mmm
VASP energy   -3.939 eV/atom
Energy relative to the elements, uncorrected   1.950 eV/atom
Excess energy over the best structure of this formula in the dataset   1288 meV per atom

=====

[3]
A plane-wave DFT calculation with PBE was carried out for an optimized crystal structure of SbP2WI. Values from VASP.

```
&SYSTEM
  ibrav = 0, nat = 5, ntyp = 4
/
ATOMIC_SPECIES
Sb 121.76 Sb.upf
P 30.97 P.upf
W 183.84 W.upf
I 126.90 I.upf
ATOMIC_POSITIONS crystal
Sb 0.000 0.000 0.000
P 0.000 0.500 0.500
P 0.500 0.000 0.500
W 0.500 0.500 0.500
I 0.500 0.500 0.000
CELL_PARAMETERS angstrom
4.660 0.000 0.000
0.000 4.660 0.000
0.000 0.000 5.794
```

Calculated values
Space-group type   P4/mmm
VASP energy   -5.227 eV/atom
Energy relative to the elements, uncorrected   0.663 eV/atom
Excess energy over the best structure of this formula in the dataset   0 meV per atom

=====

[4]
A plane-wave DFT calculation with PBE was carried out for an optimized crystal structure of ZnSb2PI. Values from VASP.

```
&SYSTEM
  ibrav = 0, nat = 5, ntyp = 4
/
ATOMIC_SPECIES
Zn 65.41 Zn.upf
Sb 121.76 Sb.upf
P 30.97 P.upf
I 126.90 I.upf
ATOMIC_POSITIONS crystal
Zn 0.000 0.000 0.000
Sb 0.000 0.500 0.000
Sb 0.500 0.000 0.000
P 0.500 0.500 0.500
I 0.000 0.000 0.500
CELL_PARAMETERS angstrom
5.273 0.000 0.000
0.000 5.273 0.000
0.000 0.000 5.229
```

Calculated values
Space-group type   P4/mmm
VASP energy   -2.404 eV/atom
Energy relative to the elements, uncorrected   0.892 eV/atom
Excess energy over the best structure of this formula in the dataset   226 meV per atom

=====

[5]
A plane-wave DFT calculation with PBE was carried out for an optimized crystal structure of ZnSb2PI. Values from VASP.

```
&SYSTEM
  ibrav = 0, nat = 5, ntyp = 4
/
ATOMIC_SPECIES
Zn 65.41 Zn.upf
Sb 121.76 Sb.upf
P 30.97 P.upf
I 126.90 I.upf
ATOMIC_POSITIONS crystal
Zn 0.000 0.000 0.000
Sb 0.000 0.500 0.500
Sb 0.500 0.000 0.500
P 0.500 0.500 0.500
I 0.500 0.500 0.000
CELL_PARAMETERS angstrom
5.311 0.000 0.000
0.000 5.311 0.000
0.000 0.000 5.399
```

Calculated values
Space-group type   P4/mmm
VASP energy   -2.630 eV/atom
Energy relative to the elements, uncorrected   0.666 eV/atom
Excess energy over the best structure of this formula in the dataset   0 meV per atom

=====

[6]
A plane-wave DFT calculation with PBE was carried out for an optimized crystal structure of ZrSb2PI. Values from VASP.

```
&SYSTEM
  ibrav = 0, nat = 5, ntyp = 4
/
ATOMIC_SPECIES
Zr 91.22 Zr.upf
Sb 121.76 Sb.upf
P 30.97 P.upf
I 126.90 I.upf
ATOMIC_POSITIONS crystal
Zr 0.000 0.000 0.000
Sb 0.000 0.500 0.000
Sb 0.500 0.000 0.000
P 0.500 0.500 0.500
I 0.000 0.000 0.500
CELL_PARAMETERS angstrom
5.641 0.000 0.000
0.000 5.641 0.000
0.000 0.000 5.590
```

Calculated values
Space-group type   P4/mmm
VASP energy   -4.110 eV/atom
Energy relative to the elements, uncorrected   0.641 eV/atom
Excess energy over the best structure of this formula in the dataset   14 meV per atom

=====

[7]
A plane-wave DFT calculation with PBE was carried out for an optimized crystal structure of ZrSb2PI. Values from VASP.

```
&SYSTEM
  ibrav = 0, nat = 5, ntyp = 4
/
ATOMIC_SPECIES
Zr 91.22 Zr.upf
Sb 121.76 Sb.upf
P 30.97 P.upf
I 126.90 I.upf
ATOMIC_POSITIONS crystal
Zr 0.000 0.000 0.000
Sb 0.000 0.500 0.500
Sb 0.500 0.000 0.500
P 0.500 0.500 0.500
I 0.500 0.500 0.000
CELL_PARAMETERS angstrom
5.196 0.000 0.000
0.000 5.196 0.000
0.000 0.000 5.137
```

Calculated values
Space-group type   P4/mmm
VASP energy   -4.124 eV/atom
Energy relative to the elements, uncorrected   0.626 eV/atom
Excess energy over the best structure of this formula in the dataset   0 meV per atom

=====

[8]
A plane-wave DFT calculation with PBE was carried out for an optimized crystal structure of ScPI2. Values from VASP.

```
&SYSTEM
  ibrav = 0, nat = 8, ntyp = 3
/
ATOMIC_SPECIES
Sc 44.96 Sc.upf
P 30.97 P.upf
I 126.90 I.upf
ATOMIC_POSITIONS crystal
Sc 0.000 0.000 0.000
Sc 0.750 0.250 0.500
P 0.250 0.750 0.500
P 0.500 0.500 0.000
I 0.375 0.211 0.336
I 0.789 0.125 0.164
I 0.875 0.039 0.664
I 0.961 0.625 0.836
CELL_PARAMETERS angstrom
-5.368 5.368 2.533
5.368 -5.368 2.533
5.368 5.368 -2.533
```

Calculated values
Space-group type   I-42d
VASP energy   -4.111 eV/atom
Energy relative to the elements, uncorrected   -0.400 eV/atom
Excess energy over the best structure of this formula in the dataset   0 meV per atom